Here is AlReNiF2 after structural relaxation from the Alexandria database. Energies are from PBE+U.

a b c (Å): 3.7598 3.7598 5.5419
angles (deg): 90.00 90.00 90.00
Last column: nearest neighbours and their distance in Å.
Space group P4/mmm (No. 123)
Inequivalent atoms, fractional coordinates:
Al1 0.0000 0.0000 0.0000 x1  4 Re 2.66
Re1 0.5000 0.5000 0.0000 x1  4 Al 2.66, 2 Ni 2.77
Ni1 0.5000 0.5000 0.5000 x1  4 F 1.88
F1 0.0000 0.5000 0.5000 x2  2 Ni 1.88

Calculated values
The total energy comes out at -4.71 eV/atom. For the density of states at the Fermi level, the calculation gives 2.05 states/eV/f.u.